1.
Na2ReHO | PBE-GGA | relaxed

Calculated values
Calculated total energy: -21.50 eV for the cell shown
Total magnetic moment: 1.29 Bohr magnetons per cell
Calculated volume: 75.6 Å³/cell
SG: P4/mmm (123)

Unit cell a=5.5403 b=2.4623 c=5.5403 alpha=90.00 beta=90.00 gamma=90.00
Closest atoms and distances in Å follow each position.
Fractional positions:
H  0.0000  0.0000  0.0000  2 O 1.23
O  0.0000  0.5000  0.0000  2 H 1.23
Re  0.5000  0.5000  0.5000  2 Re 2.46
Na  0.5000  0.0000  0.0000  2 Na 2.46
Na  0.0000  0.0000  0.5000  2 Na 2.46

---

2.
NaHRuO4 | PBE-GGA | relaxed

Calculated values
Calculated total energy: -81.31 eV for the cell shown
Total magnetic moment: 0.00 Bohr magnetons per cell
Calculated volume: 160.4 Å³/cell
SG: P2_1/m (11)

Unit cell a=5.4411 b=5.3461 c=5.5141 alpha=90.00 beta=89.48 gamma=90.00
Closest atoms and distances in Å follow each position.
Fractional positions:
Ru  0.1458  0.7500  0.4567  6 O 1.82-1.96
Ru  0.8542  0.2500  0.5433  6 O 1.82-1.96
O  0.3409  0.7500  0.1865  1 Ru 1.82, 1 H 1.98
O  0.5302  0.2500  0.3902  1 H 0.99
O  0.0624  0.0002  0.7008  2 Ru 1.95-1.96
O  0.9376  0.5002  0.2992  2 Ru 1.95-1.96
O  0.0624  0.4998  0.7008  2 Ru 1.95-1.96
O  0.9376  0.9998  0.2992  2 Ru 1.95-1.96
O  0.6591  0.2500  0.8135  1 Ru 1.82, 1 H 1.98
O  0.4698  0.7500  0.6098  1 H 0.99
Na  0.7268  0.7500  0.9698  4 O 2.41-2.54
Na  0.2732  0.2500  0.0302  4 O 2.41-2.54
H  0.5720  0.7500  0.4612  1 O 0.99
H  0.4280  0.2500  0.5388  1 O 0.99